This record from Alexandria describes a geometry-optimized Li2CoSi structure. The functional is GGA-PBE.

Cell lengths 2.5501, 4.1890, 4.6682 Å; angles 90.00, 90.00, 90.00 degrees
With the nearest neighbours (Å) after each atom.
Space group Pmmm (No. 47)
Symmetry-distinct sites (fractional):
Li: 0.0000 0.0000 0.2461  4 Li 2.30-2.55
Co: 0.5000 0.5000 0.0000  2 Si 2.33, 2 Co 2.55
Si: 0.5000 0.5000 0.5000  2 Co 2.33, 2 Si 2.55

raw formation energy	-0.0169	eV/atom
total moment	0.76	μB per cell
energy	-16.42	eV per formula unit